## Al2TcTe (meta-GGA SCAN)

Data for a PBEsol-optimized structure of Al2TcTe.

**E**: -1.6145 Ry/atom

a b c (Å): 3.1153 3.1153 7.5848
angles (deg): 90.00 90.00 90.00
With the nearest neighbours (Å) after each atom.
Space group P4mm (No. 99)
Unique sites:
Al: 0.0000 0.0000 0.0000 (multiplicity 1)  8 Al 2.82-3.12
Al: 0.5000 0.5000 0.2328 (multiplicity 1)  4 Tc 2.66, 4 Al 2.82
Tc: 0.0000 0.0000 0.4286 (multiplicity 1)  4 Al 2.66, 4 Te 2.70
Te: 0.5000 0.5000 0.6354 (multiplicity 1)  4 Tc 2.70

***

## Al4TcTe (meta-GGA SCAN)

Data for a PBEsol-optimized structure of Al4TcTe.

**E**: -1.2460 Ry/atom

a b c (Å): 7.3705 7.3705 7.3705
angles (deg): 90.00 90.00 90.00
With the nearest neighbours (Å) after each atom.
Space group F-43m (No. 216)
Unique sites:
Al: 0.1242 0.1242 0.3758 (multiplicity 16)  6 Al 2.59-2.62
Tc: 0.2500 0.2500 0.7500 (multiplicity 4)  12 Al 3.05, 4 Te 3.19
Te: 0.0000 0.0000 0.0000 (multiplicity 4)  12 Al 3.06, 4 Tc 3.19